Entry 1:
Computed, not measured: AlCd2In at its PBEsol-relaxed geometry at the SCAN level of DFT.

Unit cell a=4.9802 b=4.9802 c=4.9802 alpha=60.00 beta=60.00 gamma=60.00
Fractional coordinates of all 4 atoms:
Al (0.0000, 0.0000, 0.0000)
Cd (0.2500, 0.2500, 0.2500)
In (0.5000, 0.5000, 0.5000)
Cd (0.7500, 0.7500, 0.7500)

- DFT total energy: -101.1 eV per formula unit
- Crystal system: cubic
- N(E_F): 1.65 states/eV/f.u.
- Space group: Fm-3m
- Polymorph energy (0 for the lowest one): 91.0 meV/atom

---

Entry 2:
Computed, not measured: BeTcHg2 at its PBEsol-relaxed geometry at the SCAN level of DFT.

Unit cell a=2.9170 b=2.9170 c=8.7782 alpha=80.44 beta=80.44 gamma=60.00
Fractional coordinates of all 4 atoms:
Be (0.0000, 0.0000, 0.0000)
Hg (0.7426, 0.7426, 0.7722)
Tc (0.5000, 0.5000, 0.5000)
Hg (0.2574, 0.2574, 0.2278)

- DFT total energy: -173.4 eV per formula unit
- Crystal system: trigonal
- N(E_F): 1.92 states/eV/f.u.
- Space group: R-3m

---

Entry 3:
Computed, not measured: CaPb2 at its PBEsol-relaxed geometry at the SCAN level of DFT.

Unit cell a=5.5244 b=5.5244 c=6.6431 alpha=90.00 beta=90.00 gamma=120.00
Fractional coordinates of all 6 atoms:
Ca (0.6667, 0.3333, 0.2500)
Pb (0.6667, 0.3333, 0.7500)
Ca (0.3333, 0.6667, 0.7500)
Pb (0.3333, 0.6667, 0.2500)
Pb (0.0000, 0.0000, 0.5000)
Pb (0.0000, 0.0000, 0.0000)

- DFT total energy: -162.6 eV per formula unit
- Crystal system: hexagonal
- N(E_F): 1.74 states/eV/f.u.
- Space group: P6_3/mmc

---

Entry 4:
Computed, not measured: CoSbPt3 at its PBEsol-relaxed geometry at the SCAN level of DFT.

Unit cell a=4.8378 b=4.8378 c=4.8378 alpha=90.00 beta=90.00 gamma=90.00
Each line ends with the local moment (μB).
Fractional coordinates of all 5 atoms:
Sb (0.0000, 0.0000, 0.0000)  0.00
Pt (0.0000, 0.5000, 0.0000)  -0.03
Pt (0.5000, 0.0000, 0.0000)  -0.03
Co (0.5000, 0.5000, 0.5000)  2.17
Pt (0.0000, 0.0000, 0.5000)  -0.03

- DFT total energy: -259.4 eV per formula unit
- E_form (uncorrected): 1140 meV per atom
- Crystal system: cubic
- N(E_F): 4.29 states/eV/f.u.
- Space group: Pm-3m

---

Entry 5:
Computed, not measured: CoRe2PtS at its PBEsol-relaxed geometry at the SCAN level of DFT.

Unit cell a=3.8289 b=4.5148 c=4.5148 alpha=90.00 beta=90.00 gamma=90.00
Each line ends with the local moment (μB).
Fractional coordinates of all 5 atoms:
Re (0.0000, 0.0000, 0.5000)  1.04
Co (0.0000, 0.0000, 0.0000)  0.53
Re (0.0000, 0.5000, 0.0000)  1.04
S (0.5000, 0.0000, 0.0000)  -0.03
Pt (0.5000, 0.5000, 0.5000)  0.10

- DFT total energy: -231.1 eV per formula unit
- E_form (uncorrected): 1636 meV per atom
- Crystal system: tetragonal
- N(E_F): 5.08 states/eV/f.u.
- Space group: P4/mmm

---

Entry 6:
Computed, not measured: MnFeSiHg2 at its PBEsol-relaxed geometry at the SCAN level of DFT.

Unit cell a=3.9664 b=4.9903 c=4.9903 alpha=90.00 beta=90.00 gamma=90.00
Each line ends with the local moment (μB).
Fractional coordinates of all 5 atoms:
Fe (0.5000, 0.0000, 0.0000)  1.68
Hg (0.0000, 0.5000, 0.0000)  0.00
Si (0.5000, 0.5000, 0.5000)  -0.02
Mn (0.0000, 0.0000, 0.0000)  1.49
Hg (0.0000, 0.0000, 0.5000)  0.00

- DFT total energy: -176.5 eV per formula unit
- E_form (uncorrected): 1242 meV per atom
- Crystal system: tetragonal
- N(E_F): 3.42 states/eV/f.u.
- Space group: P4/mmm